(1)
Material: SrTcN2
Method: DFT, PBE
State: relaxed

Cell lengths 6.8318, 6.8318, 6.8318 Å; angles 30.86, 30.86, 30.86 degrees
Positions (direct):
Sr (0.0000, 0.0000, 0.0000)
Tc (0.5000, 0.5000, 0.5000)
N (0.4070, 0.4070, 0.4070)
N (0.5930, 0.5930, 0.5930)

Results
crystal system	trigonal
uncorrected formation energy	0.315	eV/atom
E above lowest polymorph	797	meV/atom
E_tot	-6.86	eV per atom

***

(2)
Material: Al2CdCo
Method: DFT, PBE
State: relaxed

Cell lengths 4.4181, 4.4181, 4.4181 Å; angles 60.00, 60.00, 60.00 degrees
Positions (direct):
Al (0.0000, 0.0000, 0.0000)
Al (0.2500, 0.2500, 0.2500)
Cd (0.5000, 0.5000, 0.5000)
Co (0.7500, 0.7500, 0.7500)

Results
crystal system	cubic
formation enthalpy at 0 K	0.176	eV/atom
E_tot	-3.70	eV per atom

***

(3)
Material: AlNi2Au2
Method: DFT, PBE
State: relaxed

Cell lengths 6.1332, 6.1332, 3.9576 Å; angles 90.00, 90.00, 90.00 degrees
Positions (direct):
Al (0.0000, 0.0000, 0.0000)
Al (0.5000, 0.5000, 0.0000)
Ni (0.1342, 0.3658, 0.0000)
Ni (0.3658, 0.8658, 0.0000)
Ni (0.6342, 0.1342, 0.0000)
Ni (0.8658, 0.6342, 0.0000)
Au (0.1696, 0.6696, 0.5000)
Au (0.3304, 0.1696, 0.5000)
Au (0.6696, 0.8304, 0.5000)
Au (0.8304, 0.3304, 0.5000)

Results
crystal system	tetragonal
formation enthalpy at 0 K	-0.144	eV/atom
E above lowest polymorph	0	meV/atom
E_tot	-4.52	eV per atom

***

(4)
Material: Tb2CePuN4
Method: DFT, PBE
State: relaxed

Cell lengths 6.0773, 3.5138, 6.0863 Å; angles 90.00, 109.68, 90.00 degrees
Positions (direct):
Tb (0.0000, 0.0000, 0.0000)
Tb (0.5000, 0.5000, 0.0000)
Ce (0.0000, 0.5000, 0.5000)
Pu (0.5000, 0.0000, 0.5000)
N (0.2507, 0.0000, 0.7482)
N (0.2578, 0.5000, 0.2568)
N (0.7422, 0.5000, 0.7432)
N (0.7493, 0.0000, 0.2518)

Results
crystal system	monoclinic
uncorrected formation energy	-1.511	eV/atom
E_tot	-9.36	eV per atom

***

(5)
Material: LaHf3Ga
Method: DFT, PBE
State: relaxed

Cell lengths 5.1235, 5.1235, 5.1235 Å; angles 90.00, 90.00, 90.00 degrees
Positions (direct):
La (0.0000, 0.0000, 0.0000)
Hf (0.0000, 0.5000, 0.5000)
Hf (0.5000, 0.0000, 0.5000)
Hf (0.5000, 0.5000, 0.0000)
Ga (0.5000, 0.5000, 0.5000)

Results
crystal system	cubic
formation enthalpy at 0 K	0.472	eV/atom
E above lowest polymorph	0	meV/atom
E_tot	-7.09	eV per atom

***

(6)
Material: MnAsCl2
Method: DFT, PBE
State: relaxed

Cell lengths 4.7659, 4.7659, 4.7659 Å; angles 60.00, 60.00, 60.00 degrees
Positions (direct):
Mn (0.0000, 0.0000, 0.0000)
As (0.2500, 0.2500, 0.2500)
Cl (0.5000, 0.5000, 0.5000)
Cl (0.7500, 0.7500, 0.7500)

Results
crystal system	cubic
uncorrected formation energy	0.308	eV/atom
E above lowest polymorph	728	meV/atom
E_tot	-4.07	eV per atom

***

(7)
Material: BiP2Se6
Method: DFT, PBE
State: relaxed

Cell lengths 8.9398, 8.9398, 7.5161 Å; angles 105.44, 105.44, 83.21 degrees
Positions (direct):
Bi (0.1276, 0.8724, 0.7500)
Bi (0.8724, 0.1276, 0.2500)
P (0.1949, 0.3763, 0.7580)
P (0.3763, 0.1949, 0.2580)
P (0.6237, 0.8051, 0.7420)
P (0.8051, 0.6237, 0.2420)
Se (0.0223, 0.1900, 0.6699)
Se (0.0341, 0.5845, 0.7920)
Se (0.1900, 0.0223, 0.1699)
Se (0.3576, 0.3615, 0.0640)
Se (0.3615, 0.3576, 0.5640)
Se (0.4155, 0.9659, 0.7080)
Se (0.5845, 0.0341, 0.2920)
Se (0.6385, 0.6424, 0.4360)
Se (0.6424, 0.6385, 0.9360)
Se (0.8100, 0.9777, 0.8301)
Se (0.9659, 0.4155, 0.2080)
Se (0.9777, 0.8100, 0.3301)

Results
crystal system	monoclinic
uncorrected formation energy	-0.012	eV/atom
E_tot	-3.97	eV per atom

***

(8)
Material: ThMo2H7
Method: DFT, PBE
State: relaxed

Cell lengths 5.2186, 5.2186, 3.7596 Å; angles 90.00, 90.00, 115.92 degrees
Positions (direct):
Th (0.0000, 0.0000, 0.0000)
Mo (0.2980, 0.7020, 0.5000)
Mo (0.7020, 0.2980, 0.5000)
H (0.0547, 0.3078, 0.5000)
H (0.2730, 0.7270, 0.0000)
H (0.3078, 0.0547, 0.5000)
H (0.5000, 0.5000, 0.5000)
H (0.6922, 0.9453, 0.5000)
H (0.7270, 0.2730, 0.0000)
H (0.9453, 0.6922, 0.5000)

Results
crystal system	orthorhombic
E_tot	-5.30	eV per atom

***

(9)
Material: VTc2Sn
Method: DFT, PBE
State: relaxed

Cell lengths 3.1384, 3.1384, 6.3113 Å; angles 90.00, 90.00, 90.00 degrees
Positions (direct):
V (0.0000, 0.0000, 0.0000)
Tc (0.5000, 0.5000, 0.2295)
Tc (0.5000, 0.5000, 0.7705)
Sn (0.0000, 0.0000, 0.5000)

Results
crystal system	tetragonal
formation enthalpy at 0 K	-0.070	eV/atom
E_tot	-8.53	eV per atom

***

(10)
Material: Tl2AgSbSe4
Method: DFT, PBE
State: relaxed

Cell lengths 6.7627, 6.7647, 7.0691 Å; angles 112.34, 110.73, 103.45 degrees
Positions (direct):
Tl (0.0000, 0.0000, 0.0000)
Tl (0.1521, 0.6515, 0.5001)
Ag (0.4143, 0.4148, 0.9999)
Sb (0.6514, 0.1513, 0.4999)
Se (0.0212, 0.4864, 0.8744)
Se (0.3096, 0.1991, 0.5557)
Se (0.6118, 0.1474, 0.1256)
Se (0.6445, 0.7541, 0.4440)

Results
crystal system	triclinic
uncorrected formation energy	-0.238	eV/atom
E_tot	-3.44	eV per atom

***

(11)
Material: B4C
Method: DFT, PBE
State: relaxed

Cell lengths 6.7064, 6.7064, 5.0865 Å; angles 111.24, 111.24, 23.35 degrees
Positions (direct):
B (0.0967, 0.0967, 0.4000)
B (0.2065, 0.2065, 0.0227)
B (0.2239, 0.2239, 0.3723)
B (0.3363, 0.3363, 0.2305)
B (0.6637, 0.6637, 0.7695)
B (0.7761, 0.7761, 0.6277)
B (0.7935, 0.7935, 0.9773)
B (0.9033, 0.9033, 0.6000)
C (0.4451, 0.4451, 0.5210)
C (0.5549, 0.5549, 0.4790)

Results
crystal system	monoclinic
formation enthalpy at 0 K	0.360	eV/atom
E above lowest polymorph	462	meV/atom
E_tot	-6.83	eV per atom

***

(12)
Material: CsZnAg2
Method: DFT, PBE
State: relaxed

Cell lengths 7.0754, 7.0754, 7.0754 Å; angles 39.23, 39.23, 39.23 degrees
Positions (direct):
Cs (0.0000, 0.0000, 0.0000)
Zn (0.5000, 0.5000, 0.5000)
Ag (0.1798, 0.1798, 0.1798)
Ag (0.8202, 0.8202, 0.8202)

Results
crystal system	trigonal
formation enthalpy at 0 K	-0.007	eV/atom
E_tot	-1.96	eV per atom

***

(13)
Material: SrMgIn2Pd
Method: DFT, PBE
State: relaxed

Cell lengths 5.2391, 5.2391, 5.0359 Å; angles 90.00, 90.00, 90.00 degrees
Positions (direct):
Sr (0.0000, 0.0000, 0.0000)
Mg (0.5000, 0.5000, 0.0000)
In (0.0000, 0.5000, 0.5000)
In (0.5000, 0.0000, 0.5000)
Pd (0.5000, 0.5000, 0.5000)

Results
crystal system	tetragonal
formation enthalpy at 0 K	-0.359	eV/atom
E above lowest polymorph	0	meV/atom
E_tot	-3.15	eV per atom

***

(14)
Material: NdSm2Ho9
Method: DFT, PBE
State: relaxed

Cell lengths 11.2383, 11.2383, 3.5108 Å; angles 90.00, 90.00, 120.00 degrees
Positions (direct):
Nd (0.0000, 0.0000, 0.0000)
Sm (0.3333, 0.6667, 0.0000)
Sm (0.6667, 0.3333, 0.0000)
Ho (0.0000, 0.5000, 0.0000)
Ho (0.1765, 0.3531, 0.5000)
Ho (0.1765, 0.8235, 0.5000)
Ho (0.3531, 0.1765, 0.5000)
Ho (0.5000, 0.0000, 0.0000)
Ho (0.5000, 0.5000, 0.0000)
Ho (0.6469, 0.8235, 0.5000)
Ho (0.8235, 0.1765, 0.5000)
Ho (0.8235, 0.6469, 0.5000)

Results
crystal system	hexagonal
formation enthalpy at 0 K	0.053	eV/atom
E above lowest polymorph	31	meV/atom
E_tot	-4.56	eV per atom

***

(15)
Material: DyHfMgOs
Method: DFT, PBE
State: relaxed

Cell lengths 4.8533, 4.8533, 4.8533 Å; angles 60.00, 60.00, 60.00 degrees
Positions (direct):
Dy (0.0000, 0.0000, 0.0000)
Hf (0.5000, 0.5000, 0.5000)
Mg (0.7500, 0.7500, 0.7500)
Os (0.2500, 0.2500, 0.2500)

Results
crystal system	cubic
formation enthalpy at 0 K	-0.150	eV/atom
E_tot	-7.00	eV per atom

***

(16)
Material: PaCo4
Method: DFT, PBE
State: relaxed

Cell lengths 7.1745, 7.1745, 7.1745 Å; angles 148.08, 136.37, 55.07 degrees
Positions (direct):
Pa (0.3571, 0.1071, 0.2500)
Pa (0.6429, 0.8929, 0.7500)
Co (0.0000, 0.5000, 0.5000)
Co (0.1388, 0.8888, 0.2500)
Co (0.1661, 0.6970, 0.4691)
Co (0.2721, 0.3030, 0.9691)
Co (0.5000, 0.5000, 0.0000)
Co (0.7279, 0.6970, 0.0309)
Co (0.8339, 0.3030, 0.5309)
Co (0.8612, 0.1112, 0.7500)

Results
crystal system	orthorhombic
formation enthalpy at 0 K	-0.160	eV/atom
E above lowest polymorph	0	meV/atom
E_tot	-7.74	eV per atom

***

(17)
Material: Hg2C
Method: DFT, PBE
State: relaxed

Cell lengths 8.3648, 8.3648, 8.3648 Å; angles 131.57, 131.57, 70.91 degrees
Positions (direct):
Hg (0.0773, 0.3273, 0.7500)
Hg (0.2745, 0.5245, 0.7500)
Hg (0.3273, 0.0773, 0.2500)
Hg (0.4755, 0.7255, 0.7500)
Hg (0.5245, 0.2745, 0.2500)
Hg (0.6727, 0.9227, 0.7500)
Hg (0.7255, 0.4755, 0.2500)
Hg (0.9227, 0.6727, 0.2500)
C (0.0793, 0.8293, 0.2500)
C (0.1707, 0.9207, 0.2500)
C (0.8293, 0.0793, 0.7500)
C (0.9207, 0.1707, 0.7500)

Results
crystal system	tetragonal
formation enthalpy at 0 K	0.770	eV/atom
E above lowest polymorph	298	meV/atom
E_tot	-2.51	eV per atom

***

(18)
Material: MnCoAs2Ru
Method: DFT, PBE
State: relaxed

Cell lengths 4.6594, 4.6594, 4.8693 Å; angles 90.00, 90.00, 90.00 degrees
Positions (direct):
Mn (0.0000, 0.0000, 0.0000)
Co (0.5000, 0.5000, 0.0000)
As (0.0000, 0.5000, 0.5000)
As (0.5000, 0.0000, 0.5000)
Ru (0.0000, 0.0000, 0.5000)

Results
crystal system	tetragonal
formation enthalpy at 0 K	0.960	eV/atom
E_tot	-6.01	eV per atom

***

(19)
Material: Ni2PdRuPt
Method: DFT, PBE
State: relaxed

Cell lengths 4.4202, 4.4202, 4.7420 Å; angles 90.00, 90.00, 90.00 degrees
Positions (direct):
Ni (0.0000, 0.5000, 0.0000)
Ni (0.5000, 0.0000, 0.0000)
Pd (0.0000, 0.0000, 0.5000)
Ru (0.5000, 0.5000, 0.0000)
Pt (0.5000, 0.5000, 0.5000)

Results
crystal system	tetragonal
formation enthalpy at 0 K	1.301	eV/atom
E_tot	-5.11	eV per atom

***

(20)
Material: YTi2I
Method: DFT, PBE
State: relaxed

Cell lengths 4.9140, 4.9140, 4.9140 Å; angles 60.00, 60.00, 60.00 degrees
Positions (direct):
Y (0.0000, 0.0000, 0.0000)
Ti (0.2500, 0.2500, 0.2500)
Ti (0.7500, 0.7500, 0.7500)
I (0.5000, 0.5000, 0.5000)

Results
crystal system	cubic
uncorrected formation energy	0.525	eV/atom
E above lowest polymorph	90	meV/atom
E_tot	-5.43	eV per atom